# NaMoP2O8 | Alexandria | SCAN | PBEsol geometry
# Raw formation energy   -28.2 eV per formula unit
# Total DFT energy (no corrections)   -551.99 eV for the cell shown
data_NaMoP2O8
_chemical_formula_sum 'Na4 Mo4 P8 O32'
_cell_length_a 5.1791
_cell_length_b 10.6171
_cell_length_c 11.4131
_cell_angle_alpha 90.00
_cell_angle_beta 90.00
_cell_angle_gamma 90.00
_space_group_name_H-M_alt 'P 21 21 21'
_space_group_IT_number 19
_space_group_name_Hall 'P 2ac 2ab'
loop_
_atom_site_label
_atom_site_type_symbol
_atom_site_fract_x
_atom_site_fract_y
_atom_site_fract_z
Na1 Na 0.2101 0.1882 0.3795
Mo1 Mo 0.2295 0.5851 0.6404
P1 P 0.2064 0.9066 0.5425
P2 P 0.2420 0.8677 0.1817
O1 O 0.0179 0.6615 0.7735
O2 O 0.0443 0.8447 0.2797
O3 O 0.0613 0.4540 0.9957
O4 O 0.0930 0.0506 0.9522
O5 O 0.1773 0.8012 0.0705
O6 O 0.2160 0.7689 0.5723
O7 O 0.2351 0.0203 0.1634
O8 O 0.2445 0.5586 0.1990